(1)
Ce2Pt9Au: relaxed, PBE-GGA.

The structure in CIF format:
```
data_Ce2Pt9Au
_cell_length_a 4.139
_cell_length_b 4.139
_cell_length_c 12.283
_cell_angle_alpha 90.00
_cell_angle_beta 90.00
_cell_angle_gamma 90.00
_symmetry_space_group_name_H-M 'P 4/m m m'
_symmetry_Int_Tables_number 123
_symmetry_space_group_name_Hall '-P 4 2'
loop_
_atom_site_label
_atom_site_type_symbol
_atom_site_fract_x
_atom_site_fract_y
_atom_site_fract_z
Ce1 Ce 0.000 0.000 0.174
Pt1 Pt 0.000 0.500 0.000
Pt2 Pt 0.000 0.500 0.337
Pt3 Pt 0.500 0.500 0.169
Pt4 Pt 0.500 0.500 0.500
Au1 Au 0.000 0.000 0.500
```

- total magnetic moment (μB per formula unit) = 0.00
- E_tot (eV for the cell shown) = -77.2

(2)
SrTbSe2F: relaxed, PBE-GGA.

The structure in CIF format:
```
data_SrTbSe2F
_cell_length_a 4.122
_cell_length_b 4.122
_cell_length_c 14.649
_cell_angle_alpha 90.00
_cell_angle_beta 90.00
_cell_angle_gamma 90.00
_symmetry_space_group_name_H-M 'P 4/n m m'
_symmetry_Int_Tables_number 129
loop_
_symmetry_equiv_pos_as_xyz
'x,y,z'
'-x,-y,-z'
'-y+1/2,x,z'
'y+1/2,-x,-z'
'-x+1/2,-y+1/2,z'
'x+1/2,y+1/2,-z'
'y,-x+1/2,z'
'-y,x+1/2,-z'
'x+1/2,-y,-z'
'-x+1/2,y,z'
'-y,-x,-z'
'y,x,z'
'-x,y+1/2,-z'
'x,-y+1/2,z'
'y+1/2,x+1/2,-z'
'-y+1/2,-x+1/2,z'
loop_
_atom_site_label
_atom_site_type_symbol
_atom_site_fract_x
_atom_site_fract_y
_atom_site_fract_z
Sr1 Sr 0.250 0.250 0.098
Tb1 Tb 0.250 0.250 0.622
Se1 Se 0.250 0.250 0.409
Se2 Se 0.250 0.250 0.801
F1 F 0.250 0.750 0.000
```

- total magnetic moment (μB per formula unit) = 0.00
- energy relative to the elements, uncorrected (eV per atom) = -2.486
- E_tot (eV for the cell shown) = -55.2

(3)
Na3NdNp3Se8: relaxed, PBE-GGA.

The structure in CIF format:
```
data_Na3NdNp3Se8
_cell_length_a 8.3978
_cell_length_b 8.3978
_cell_length_c 20.9058
_cell_angle_alpha 90.00
_cell_angle_beta 90.00
_cell_angle_gamma 120.00
_symmetry_space_group_name_H-M 'R -3 m'
_symmetry_Int_Tables_number 166
_symmetry_space_group_name_Hall '-R 3 2"'
loop_
_atom_site_label
_atom_site_type_symbol
_atom_site_fract_x
_atom_site_fract_y
_atom_site_fract_z
Na1 Na 0.0000 0.5000 0.0000
Nd1 Nd 0.0000 0.0000 0.5000
Np1 Np 0.0000 0.5000 0.5000
Se1 Se 0.0000 0.0000 0.2430
Se2 Se 0.0095 0.5047 0.7569
```

- total magnetic moment (μB per formula unit) = 11.00
- energy relative to the elements, uncorrected (eV per atom) = -1.301
- E_tot (eV for the cell shown) = -284.8

(4)
Mn2NbGaH: relaxed, PBE-GGA.

The structure in CIF format:
```
data_Mn2NbGaH
_cell_length_a 3.850
_cell_length_b 3.850
_cell_length_c 3.955
_cell_angle_alpha 90.00
_cell_angle_beta 90.00
_cell_angle_gamma 90.00
_symmetry_space_group_name_H-M 'P 4/m m m'
_symmetry_Int_Tables_number 123
_symmetry_space_group_name_Hall '-P 4 2'
loop_
_atom_site_label
_atom_site_type_symbol
_atom_site_fract_x
_atom_site_fract_y
_atom_site_fract_z
Mn1 Mn 0.000 0.500 0.000
Nb1 Nb 0.000 0.000 0.500
Ga1 Ga 0.500 0.500 0.500
H1 H 0.000 0.000 0.000
```

- total magnetic moment (μB per formula unit) = 3.59
- E_tot (eV for the cell shown) = -35.3

(5)
Rb2SbTeBr6: relaxed, PBE-GGA.

The structure in CIF format:
```
data_Rb2SbTeBr6
_cell_length_a 8.303
_cell_length_b 8.303
_cell_length_c 11.520
_cell_angle_alpha 90.00
_cell_angle_beta 90.00
_cell_angle_gamma 90.00
_symmetry_space_group_name_H-M 'I 4/m m m'
_symmetry_Int_Tables_number 139
_symmetry_space_group_name_Hall '-I 4 2'
loop_
_atom_site_label
_atom_site_type_symbol
_atom_site_fract_x
_atom_site_fract_y
_atom_site_fract_z
Rb1 Rb 0.000 0.500 0.250
Sb1 Sb 0.000 0.000 0.000
Te1 Te 0.000 0.000 0.500
Br1 Br 0.000 0.000 0.245
Br2 Br 0.240 0.240 0.000
```

- total magnetic moment (μB per formula unit) = 0.00
- energy relative to the elements, uncorrected (eV per atom) = -0.864
- E_tot (eV for the cell shown) = -55.8

(6)
TbNi4Au: relaxed, PBE-GGA.

The structure in CIF format:
```
data_TbNi4Au
_cell_length_a 6.994
_cell_length_b 6.994
_cell_length_c 6.994
_cell_angle_alpha 90.00
_cell_angle_beta 90.00
_cell_angle_gamma 90.00
_symmetry_space_group_name_H-M 'F -4 3 m'
_symmetry_Int_Tables_number 216
_symmetry_space_group_name_Hall 'F -4 2 3'
loop_
_atom_site_label
_atom_site_type_symbol
_atom_site_fract_x
_atom_site_fract_y
_atom_site_fract_z
Tb1 Tb 0.000 0.000 0.000
Ni1 Ni 0.124 0.124 0.376
Au1 Au 0.250 0.250 0.750
```

- total magnetic moment (μB per formula unit) = 0.47
- E_tot (eV for the cell shown) = -133.2

(7)
BaMn2Tc: relaxed, PBE-GGA.

The structure in CIF format:
```
data_BaMn2Tc
_cell_length_a 6.472
_cell_length_b 6.472
_cell_length_c 6.472
_cell_angle_alpha 90.00
_cell_angle_beta 90.00
_cell_angle_gamma 90.00
_symmetry_space_group_name_H-M 'F m -3 m'
_symmetry_Int_Tables_number 225
_symmetry_space_group_name_Hall '-F 4 2 3'
loop_
_atom_site_label
_atom_site_type_symbol
_atom_site_fract_x
_atom_site_fract_y
_atom_site_fract_z
Ba1 Ba 0.000 0.000 0.000
Mn1 Mn 0.250 0.250 0.250
Tc1 Tc 0.000 0.000 0.500
```

- total magnetic moment (μB per formula unit) = 0.00
- E_tot (eV for the cell shown) = -100.0